1.
4
Lattice="4.8286 0.0000 0.0000 0.0000 2.1872 6.6806 0.0000 -2.1872 6.6806" Properties=species:S:1:pos:R:3 comment="SrCaTe2 PBE-GGA relaxed" total_magnetization_mub_per_fu=0.000 sg="No. 38" energy_ev_per_atom=-4.0307 pbc="T T T"
Sr 0.0000 0.0000 0.0000
Ca 2.4143 0.0000 9.8788
Te 0.0000 0.0000 3.4238
Te 2.4143 0.0000 6.7819

2.
4
Lattice="-2.2006 2.2006 3.9237 2.2006 -2.2006 3.9237 2.2006 2.2006 -3.9237" Properties=species:S:1:pos:R:3 comment="SrFePt2 PBE-GGA relaxed" total_magnetization_mub_per_fu=3.642 ef_ev_per_atom=0.000 sg="No. 139" pbc="T T T"
Sr 0.0000 0.0000 0.0000
Fe 0.0000 0.0000 3.9237
Pt 2.2006 0.0000 1.9618
Pt 0.0000 2.2006 1.9618